(1)
Compound: Ca2Ga4Ir3Pt
Source: Alexandria via LeMat-Bulk
Functional: PBE
Structure: optimized geometry

a = 4.214 Å, b = 4.214 Å, c = 10.534 Å
α = 90.00°, β = 90.00°, γ = 90.00°
Positions (direct):
Ca 0.000 0.500 0.246
Ca 0.500 0.000 0.754
Ga 0.000 0.000 0.500
Ga 0.000 0.500 0.868
Ga 0.500 0.000 0.132
Ga 0.500 0.500 0.500
Ir 0.000 0.000 0.000
Ir 0.000 0.500 0.633
Ir 0.500 0.000 0.367
Pt 0.500 0.500 0.000

Total energy (eV/cell): -55.367
DOS at the Fermi energy (states/eV per cell): 3.88
ΔH_f (0 K) (kJ/mol of formula units): -640

(2)
Compound: RbCaGa2Ir
Source: Alexandria via LeMat-Bulk
Functional: PBE
Structure: optimized geometry

a = 4.957 Å, b = 4.957 Å, c = 5.502 Å
α = 90.00°, β = 90.00°, γ = 90.00°
Positions (direct):
Rb 0.000 0.000 0.000
Ca 0.500 0.500 0.000
Ga 0.000 0.500 0.500
Ga 0.500 0.000 0.500
Ir 0.500 0.500 0.500

Total energy (eV/cell): -19.234
DOS at the Fermi energy (states/eV per cell): 2.04
ΔH_f (0 K) (kJ/mol of formula units): -130

(3)
Compound: CaGa3IrRh
Source: Alexandria via LeMat-Bulk
Functional: PBE
Structure: optimized geometry

a = 6.692 Å, b = 6.692 Å, c = 5.753 Å
α = 90.00°, β = 90.00°, γ = 108.09°
Positions (direct):
Ca 0.209 0.791 0.750
Ca 0.791 0.209 0.250
Ga 0.240 0.240 0.000
Ga 0.240 0.240 0.500
Ga 0.303 0.697 0.250
Ga 0.697 0.303 0.750
Ga 0.760 0.760 0.000
Ga 0.760 0.760 0.500
Ir 0.083 0.917 0.250
Ir 0.917 0.083 0.750
Rh 0.479 0.521 0.750
Rh 0.521 0.479 0.250

Total energy (eV/cell): -60.270
DOS at the Fermi energy (states/eV per cell): 6.27
ΔH_f (0 K) (kJ/mol of formula units): -274

(4)
Compound: Ca2Ga5IrRh2
Source: Alexandria via LeMat-Bulk
Functional: PBE
Structure: optimized geometry

a = 9.998 Å, b = 9.998 Å, c = 3.594 Å
α = 90.00°, β = 90.00°, γ = 90.00°
Positions (direct):
Ca 0.181 0.319 0.000
Ca 0.319 0.819 0.000
Ca 0.681 0.181 0.000
Ca 0.819 0.681 0.000
Ga 0.000 0.500 0.500
Ga 0.055 0.810 0.500
Ga 0.190 0.055 0.500
Ga 0.310 0.555 0.500
Ga 0.445 0.310 0.500
Ga 0.500 0.000 0.500
Ga 0.555 0.690 0.500
Ga 0.690 0.445 0.500
Ga 0.810 0.945 0.500
Ga 0.945 0.190 0.500
Ir 0.000 0.000 0.000
Ir 0.500 0.500 0.000
Rh 0.120 0.620 0.000
Rh 0.380 0.120 0.000
Rh 0.620 0.880 0.000
Rh 0.880 0.380 0.000

Total energy (eV/cell): -94.744
DOS at the Fermi energy (states/eV per cell): 7.86
ΔH_f (0 K) (kJ/mol of formula units): -451

(5)
Compound: CaGa4IrRh2
Source: Alexandria via LeMat-Bulk
Functional: PBE
Structure: optimized geometry

a = 9.214 Å, b = 9.214 Å, c = 9.214 Å
α = 26.59°, β = 26.59°, γ = 26.59°
Positions (direct):
Ca 0.000 0.000 0.000
Ga 0.132 0.132 0.132
Ga 0.402 0.402 0.402
Ga 0.598 0.598 0.598
Ga 0.868 0.868 0.868
Ir 0.500 0.500 0.500
Rh 0.235 0.235 0.235
Rh 0.765 0.765 0.765

Total energy (eV/cell): -42.209
DOS at the Fermi energy (states/eV per cell): 3.72
ΔH_f (0 K) (kJ/mol of formula units): -438

(6)
Compound: Ca2Ga5Ir2Rh
Source: Alexandria via LeMat-Bulk
Functional: PBE
Structure: optimized geometry

a = 9.973 Å, b = 9.973 Å, c = 3.646 Å
α = 90.00°, β = 90.00°, γ = 90.00°
Positions (direct):
Ca 0.178 0.322 0.000
Ca 0.322 0.822 0.000
Ca 0.678 0.178 0.000
Ca 0.822 0.678 0.000
Ga 0.000 0.500 0.500
Ga 0.058 0.807 0.500
Ga 0.193 0.058 0.500
Ga 0.307 0.558 0.500
Ga 0.442 0.307 0.500
Ga 0.500 0.000 0.500
Ga 0.558 0.693 0.500
Ga 0.693 0.442 0.500
Ga 0.807 0.942 0.500
Ga 0.942 0.193 0.500
Ir 0.122 0.622 0.000
Ir 0.378 0.122 0.000
Ir 0.622 0.878 0.000
Ir 0.878 0.378 0.000
Rh 0.000 0.000 0.000
Rh 0.500 0.500 0.000

Total energy (eV/cell): -96.888
DOS at the Fermi energy (states/eV per cell): 9.23
ΔH_f (0 K) (kJ/mol of formula units): -408

(7)
Compound: CaGa4IrRu2
Source: Alexandria via LeMat-Bulk
Functional: PBE
Structure: optimized geometry

a = 9.188 Å, b = 9.188 Å, c = 9.188 Å
α = 26.66°, β = 26.66°, γ = 26.66°
Positions (direct):
Ca 0.000 0.000 0.000
Ga 0.131 0.131 0.131
Ga 0.403 0.403 0.403
Ga 0.597 0.597 0.597
Ga 0.869 0.869 0.869
Ir 0.500 0.500 0.500
Ru 0.234 0.234 0.234
Ru 0.766 0.766 0.766

Total energy (eV/cell): -44.409
DOS at the Fermi energy (states/eV per cell): 4.62
ΔH_f (0 K) (kJ/mol of formula units): -279

(8)
Compound: Ca2Ga5Ir2Ru
Source: Alexandria via LeMat-Bulk
Functional: PBE
Structure: optimized geometry

a = 9.992 Å, b = 9.992 Å, c = 3.614 Å
α = 90.00°, β = 90.00°, γ = 90.00°
Positions (direct):
Ca 0.177 0.323 0.000
Ca 0.323 0.823 0.000
Ca 0.677 0.177 0.000
Ca 0.823 0.677 0.000
Ga 0.000 0.500 0.500
Ga 0.058 0.808 0.500
Ga 0.192 0.058 0.500
Ga 0.308 0.558 0.500
Ga 0.442 0.308 0.500
Ga 0.500 0.000 0.500
Ga 0.558 0.692 0.500
Ga 0.692 0.442 0.500
Ga 0.808 0.942 0.500
Ga 0.942 0.192 0.500
Ir 0.123 0.623 0.000
Ir 0.377 0.123 0.000
Ir 0.623 0.877 0.000
Ir 0.877 0.377 0.000
Ru 0.000 0.000 0.000
Ru 0.500 0.500 0.000

Total energy (eV/cell): -99.054
DOS at the Fermi energy (states/eV per cell): 13.02
ΔH_f (0 K) (kJ/mol of formula units): -327

(9)
Compound: Ca2Ga4Ir3Ru
Source: Alexandria via LeMat-Bulk
Functional: PBE
Structure: optimized geometry

a = 4.224 Å, b = 4.224 Å, c = 10.442 Å
α = 90.00°, β = 90.00°, γ = 90.00°
Positions (direct):
Ca 0.000 0.500 0.239
Ca 0.500 0.000 0.761
Ga 0.000 0.000 0.500
Ga 0.000 0.500 0.870
Ga 0.500 0.000 0.130
Ga 0.500 0.500 0.500
Ir 0.000 0.000 0.000
Ir 0.000 0.500 0.631
Ir 0.500 0.000 0.369
Ru 0.500 0.500 0.000

Total energy (eV/cell): -56.970
DOS at the Fermi energy (states/eV per cell): 6.50
ΔH_f (0 K) (kJ/mol of formula units): -482

(10)
Compound: CaGaIr2S
Source: Alexandria via LeMat-Bulk
Functional: PBE
Structure: optimized geometry

a = 4.454 Å, b = 4.454 Å, c = 5.138 Å
α = 90.00°, β = 90.00°, γ = 90.00°
Positions (direct):
Ca 0.000 0.000 0.000
Ga 0.500 0.500 0.000
Ir 0.000 0.500 0.500
Ir 0.500 0.000 0.500
S 0.000 0.000 0.500

ΔE_f (raw) (eV per formula unit): 0.770
Total energy (eV/cell): -26.108
DOS at the Fermi energy (states/eV per cell): 4.58

(11)
Compound: CaGaSiIr
Source: Alexandria via LeMat-Bulk
Functional: PBE
Structure: optimized geometry

a = 5.843 Å, b = 5.843 Å, c = 5.843 Å
α = 41.72°, β = 41.72°, γ = 41.72°
Positions (direct):
Ca 0.000 0.000 0.000
Ga 0.794 0.794 0.794
Si 0.549 0.549 0.549
Ir 0.194 0.194 0.194

ΔE_f (raw) (eV per formula unit): -2.475
Total energy (eV/cell): -21.788
DOS at the Fermi energy (states/eV per cell): 2.66

(12)
Compound: CaGa2SiIr
Source: Alexandria via LeMat-Bulk
Functional: PBE
Structure: optimized geometry

a = 4.832 Å, b = 4.832 Å, c = 4.713 Å
α = 90.00°, β = 90.00°, γ = 90.00°
Positions (direct):
Ca 0.000 0.000 0.000
Ga 0.000 0.500 0.500
Ga 0.500 0.000 0.500
Si 0.500 0.500 0.000
Ir 0.500 0.500 0.500

ΔE_f (raw) (eV per formula unit): -0.773
Total energy (eV/cell): -23.113
DOS at the Fermi energy (states/eV per cell): 4.22

(13)
Compound: CaSmGaIr
Source: Alexandria via LeMat-Bulk
Functional: PBE
Structure: optimized geometry

a = 4.087 Å, b = 6.054 Å, c = 6.054 Å
α = 40.17°, β = 90.00°, γ = 90.00°
Positions (direct):
Ca 0.000 0.000 0.000
Sm 0.500 0.288 0.288
Ga 0.500 0.585 0.585
Ir 0.000 0.722 0.722

E above lowest polymorph (meV per atom): 0
Total energy (eV/cell): -20.973
DOS at the Fermi energy (states/eV per cell): 3.21
ΔH_f (0 K) (kJ/mol of formula units): -228